A geometry-optimized FeBiAu2 structure, computed with PBE.

```
FeBiAu2
1.0
0.000 3.390 3.390
3.390 0.000 3.390
3.390 3.390 0.000
Fe Bi Au
1 1 2
Cartesian
0.000 0.000 0.000 Fe
5.084 5.084 5.084 Bi
1.695 1.695 1.695 Au
3.390 3.390 3.390 Au
```

Results
- E (eV for the cell shown) = -17.6
- symmetry = No. 216

---

A geometry-optimized OsCl2F2 structure, computed with PBE.

```
OsCl2F2
1.0
3.599 -3.843 0.000
3.599 3.843 0.000
0.000 0.000 3.305
Os Cl F
1 2 2
Cartesian
0.000 0.000 0.000 Os
3.599 1.605 0.000 Cl
3.599 -1.605 0.000 Cl
1.217 0.000 1.653 F
5.981 0.000 1.653 F
```

Results
- E (eV for the cell shown) = -22.8
- symmetry = No. 65

---

A geometry-optimized Ir2Pt2O5 structure, computed with PBE.

```
Ir2Pt2O5
1.0
3.355 0.000 0.000
0.000 3.355 0.000
0.000 0.000 8.758
Ir Pt O
2 2 5
Cartesian
0.000 0.000 1.439 Ir
0.000 0.000 7.320 Ir
1.678 1.678 0.000 Pt
1.678 1.678 4.379 Pt
0.000 0.000 4.379 O
0.000 1.678 2.493 O
0.000 1.678 6.265 O
1.678 0.000 2.493 O
1.678 0.000 6.265 O
```

Results
- relative energy among the computed polymorphs (meV/atom) = 0
- E (eV for the cell shown) = -51.3
- symmetry = No. 123

---

A geometry-optimized CsPmSO structure, computed with PBE.

```
CsPmSO
1.0
4.760 0.000 0.000
0.000 4.760 0.000
0.000 0.000 10.942
Cs Pm S O
2 2 2 2
Cartesian
1.190 3.570 0.000 Cs
3.570 1.190 0.000 Cs
1.190 1.190 4.768 Pm
3.570 3.570 6.174 Pm
1.190 1.190 2.202 S
3.570 3.570 8.740 S
1.190 3.570 5.471 O
3.570 1.190 5.471 O
```

Results
- relative energy among the computed polymorphs (meV/atom) = 277
- E (eV for the cell shown) = -44.6
- symmetry = No. 129

---

A geometry-optimized TlSnIr structure, computed with PBE.

```
TlSnIr
1.0
0.000 3.258 3.258
3.258 0.000 3.258
3.258 3.258 0.000
Tl Sn Ir
1 1 1
Cartesian
0.000 0.000 0.000 Tl
3.258 3.258 3.258 Sn
4.886 4.886 4.886 Ir
```

Results
- relative energy among the computed polymorphs (meV/atom) = 0
- E (eV for the cell shown) = -15.1
- symmetry = No. 216

---

A geometry-optimized YPuOs structure, computed with PBE.

```
YPuOs
1.0
0.000 3.323 3.323
3.323 0.000 3.323
3.323 3.323 0.000
Y Pu Os
1 1 1
Cartesian
0.000 0.000 0.000 Y
3.323 3.323 3.323 Pu
4.985 4.985 4.985 Os
```

Results
- DFT formation energy (eV per formula unit) = -0.1
- relative energy among the computed polymorphs (meV/atom) = 0
- E (eV for the cell shown) = -31.9
- symmetry = No. 216

---

A geometry-optimized PmNdPb structure, computed with PBE.

```
PmNdPb
1.0
0.000 3.783 3.783
3.783 0.000 3.783
3.783 3.783 0.000
Pm Nd Pb
1 1 1
Cartesian
0.000 0.000 0.000 Pm
5.675 5.675 5.675 Nd
1.892 1.892 1.892 Pb
```

Results
- E (eV for the cell shown) = -12.4
- symmetry = No. 216

---

A geometry-optimized BaEr5B2 structure, computed with PBE.

```
BaEr5B2
1.0
4.946 0.000 0.000
0.000 4.946 0.000
0.000 0.000 9.675
Ba Er B
1 5 2
Cartesian
0.000 0.000 0.000 Ba
0.000 2.473 2.988 Er
0.000 2.473 6.687 Er
2.473 0.000 2.988 Er
2.473 0.000 6.687 Er
2.473 2.473 0.000 Er
2.473 2.473 2.440 B
2.473 2.473 7.234 B
```

Results
- E (eV for the cell shown) = -35.2
- symmetry = No. 123

---

A geometry-optimized DyErHg2 structure, computed with PBE.

```
DyErHg2
1.0
5.172 0.000 0.000
0.000 3.378 5.871
0.000 -3.378 5.871
Dy Er Hg
2 2 4
Cartesian
0.000 0.000 0.000 Dy
2.586 0.000 4.251 Dy
0.000 -1.601 8.736 Er
0.000 1.601 8.736 Er
0.000 0.000 5.848 Hg
2.586 -1.701 7.016 Hg
2.586 0.000 9.830 Hg
2.586 1.701 7.016 Hg
```

Results
- DFT formation energy (eV per formula unit) = -1.1
- relative energy among the computed polymorphs (meV/atom) = 201
- E (eV for the cell shown) = -21.8
- symmetry = No. 38

---

A geometry-optimized NdGdB4 structure, computed with PBE.

```
NdGdB4
1.0
3.321 0.000 0.000
-1.660 2.876 0.000
0.000 0.000 8.065
Nd Gd B
1 1 4
Cartesian
0.000 0.000 0.000 Nd
0.000 0.000 4.032 Gd
0.000 1.917 2.083 B
0.000 1.917 5.981 B
1.660 0.959 2.083 B
1.660 0.959 5.981 B
```

Results
- relative energy among the computed polymorphs (meV/atom) = 0
- E (eV for the cell shown) = -38.5
- symmetry = No. 191

---

A geometry-optimized MgCoAgTe structure, computed with PBE.

```
MgCoAgTe
1.0
0.000 3.289 3.289
3.289 0.000 3.289
3.289 3.289 0.000
Mg Co Ag Te
1 1 1 1
Cartesian
0.000 0.000 0.000 Mg
3.289 3.289 3.289 Co
4.933 4.933 4.933 Ag
1.644 1.644 1.644 Te
```

Results
- relative energy among the computed polymorphs (meV/atom) = 0
- E (eV for the cell shown) = -13.7
- symmetry = No. 216

---

A geometry-optimized CsDyYSe3 structure, computed with PBE.

```
CsDyYSe3
1.0
2.259 -8.187 0.000
2.259 8.187 0.000
0.000 0.000 11.208
Cs Dy Y Se
2 2 2 6
Cartesian
2.259 4.297 8.406 Cs
2.259 -4.297 2.802 Cs
2.259 0.000 0.000 Dy
2.259 0.000 5.604 Dy
2.259 7.621 2.802 Y
2.259 -7.621 8.406 Y
2.259 6.279 0.446 Se
2.259 6.279 5.158 Se
2.259 0.959 2.802 Se
2.259 -0.959 8.406 Se
2.259 -6.279 6.050 Se
2.259 -6.279 10.762 Se
```

Results
- relative energy among the computed polymorphs (meV/atom) = 4
- E (eV for the cell shown) = -63.6
- symmetry = No. 63

---

A geometry-optimized CoSiB structure, computed with PBE.

```
CoSiB
1.0
0.000 2.520 2.520
2.520 0.000 2.520
2.520 2.520 0.000
Co Si B
1 1 1
Cartesian
0.000 0.000 0.000 Co
1.260 1.260 1.260 Si
3.780 3.780 3.780 B
```

Results
- relative energy among the computed polymorphs (meV/atom) = 158
- E (eV for the cell shown) = -18.9
- symmetry = No. 216